A plane-wave DFT calculation with PBE was carried out for a relaxed structure of PrInGaPt3.

Summary:
mass density	10.887	g cm⁻³
total moment	0.00	μB per formula unit
E_form	-637	meV/atom

Cell and atoms, written as extended XYZ:
```
12
Lattice="-1.593 -1.303 5.325 3.170 -4.828 -0.233 5.051 6.625 3.132" Properties=species:S:1:pos:R:3 pbc="T T T"
In 5.637 -0.062 6.261
Ga 5.042 3.126 3.803
Pr 3.901 -1.017 2.448
Ga 1.586 -2.632 4.421
Pt 0.801 -1.220 -0.059
Pt 2.369 -3.608 -0.174
In 0.992 0.556 1.963
Pt 3.087 1.886 2.915
Pt 1.572 -4.260 2.489
Pt 3.542 -1.391 5.309
Pr 2.727 1.512 5.776
Pt 0.004 -1.871 2.604
```



A plane-wave DFT calculation with PBE was carried out for a relaxed structure of Li2TaTl.

Summary:
mass density	8.345	g cm⁻³
total moment	0.00	μB per formula unit
E_form	321	meV/atom

Cell and atoms, written as extended XYZ:
```
4
Lattice="10.224 -0.031 -0.018 9.787 2.955 -0.018 9.787 1.430 2.586" Properties=species:S:1:pos:R:3 pbc="T T T"
Ta 7.450 1.089 0.637
Tl 22.349 3.266 1.912
Li 14.925 2.181 1.277
Li 29.772 4.351 2.548
```



A plane-wave DFT calculation with PBE was carried out for a relaxed structure of ZrTiF2.

Summary:
mass density	5.292	g cm⁻³
total moment	0.65	μB per formula unit
raw formation energy	-0.968	eV/atom
ΔE to the lowest computed polymorph	71.6	kJ per mole of atoms

Cell and atoms, written as extended XYZ:
```
4
Lattice="0.000 3.029 3.029 3.029 0.000 3.029 3.029 3.029 0.000" Properties=species:S:1:pos:R:3 pbc="T T T"
F 4.543 4.543 4.543
Zr 3.029 3.029 3.029
F 1.514 1.514 1.514
Ti 0.000 0.000 0.000
```



A plane-wave DFT calculation with PBE was carried out for a relaxed structure of Cs4US4.

Summary:
mass density	3.945	g cm⁻³
total moment	2.00	μB per formula unit
raw formation energy	-1.184	eV/atom

Cell and atoms, written as extended XYZ:
```
9
Lattice="-7.195 0.685 -0.936 3.876 -5.617 -5.534 -0.892 -7.029 1.710" Properties=species:S:1:pos:R:3 pbc="T T T"
Cs 1.197 -7.044 -3.314
S 1.564 -10.721 -2.890
U 0.000 0.000 0.000
S -6.310 -5.446 -0.846
Cs -1.952 -9.514 -3.012
S -2.209 -6.104 -4.474
Cs -5.061 -2.179 -2.111
Cs -2.607 -5.183 -1.081
S -1.468 -1.649 -1.309
```



A plane-wave DFT calculation with PBE was carried out for a relaxed structure of Dy2GaCo.

Summary:
mass density	8.656	g cm⁻³
total moment	0.00	μB per formula unit
E_form	-402	meV/atom
ΔE to the lowest computed polymorph	0.0	kJ per mole of atoms

Cell and atoms, written as extended XYZ:
```
8
Lattice="-0.482 3.363 1.396 -3.581 1.397 -4.602 -4.437 -3.298 6.414" Properties=species:S:1:pos:R:3 pbc="T T T"
Co -4.440 -1.040 3.387
Dy -3.115 1.340 2.944
Dy -5.124 -0.161 5.867
Ga -6.126 0.817 3.165
Dy -5.385 0.122 0.264
Co -4.060 2.501 -0.180
Dy -3.376 1.623 -2.660
Ga -2.374 0.645 0.042
```



A plane-wave DFT calculation with PBE was carried out for a relaxed structure of CaGa2O4.

Summary:
mass density	5.404	g cm⁻³
total moment	0.00	μB per formula unit
raw formation energy	-2.190	eV/atom
ΔE to the lowest computed polymorph	4.5	kJ per mole of atoms

Cell and atoms, written as extended XYZ:
```
28
Lattice="3.030 0.000 0.000 0.000 9.236 0.000 0.000 0.000 10.695" Properties=species:S:1:pos:R:3 pbc="T T T"
Ga 0.758 5.376 9.576
Ca 0.758 2.241 3.697
O 0.758 5.380 6.117
O 2.273 4.871 8.379
O 0.758 0.762 9.925
O 0.758 4.364 2.315
O 0.758 8.148 5.589
Ga 2.273 3.860 1.119
Ga 0.758 5.216 4.155
O 2.273 1.884 1.732
O 2.273 3.856 4.577
O 2.273 6.502 3.615
Ga 2.273 4.020 6.540
Ga 2.273 8.478 4.228
O 2.273 5.706 0.242
Ca 0.758 6.859 1.650
Ga 2.273 8.638 9.502
Ga 0.758 0.758 6.466
O 0.758 8.982 3.032
O 0.758 7.352 8.963
O 0.758 2.734 7.079
Ca 2.273 6.995 6.997
Ga 0.758 0.598 1.193
O 2.273 0.254 7.663
O 2.273 8.473 0.770
O 2.273 1.088 5.105
O 0.758 3.530 10.453
Ca 2.273 2.377 9.045
```